<one>
Sr2CoOs (GGA-PBEsol, optimized geometry); total magnetic moment = 2.02 μB per formula unit
1.0
-3.6923 2.1915 -0.1776
-0.9472 -1.2552 4.2042
2.0921 3.6514 1.5615
Co Os Sr
1 1 2
Direct
0.5000 0.5000 0.5000
0.5000 0.0000 0.0000
0.0000 0.0000 0.5000
0.0000 0.5000 0.0000



<two>
Sr2CoOs (GGA-PBEsol, optimized geometry); total magnetic moment = 2.14 μB per formula unit
1.0
4.8114 0.0000 0.0000
-2.4057 4.5558 -0.0104
0.0000 2.5500 4.0801
Co Os Sr
1 1 2
Direct
0.0000 0.0000 0.0000
0.5000 0.0000 0.5000
0.2500 0.5000 0.2500
0.7500 0.5000 0.7500



Of them, the most stable is <two> and the least stable is <one>.